Entry A
Below is crystalline Ti2Al2Re at its relaxed geometry, with properties calculated at the PBE level.

The structure in CIF format:
```
data_Ti2Al2Re
_cell_length_a 6.732
_cell_length_b 6.732
_cell_length_c 3.448
_cell_angle_alpha 90.00
_cell_angle_beta 90.00
_cell_angle_gamma 90.00
_symmetry_space_group_name_H-M 'P 4/m b m'
_symmetry_Int_Tables_number 127
_symmetry_space_group_name_Hall '-P 4 2ab'
loop_
_atom_site_label
_atom_site_type_symbol
_atom_site_fract_x
_atom_site_fract_y
_atom_site_fract_z
_atom_site_occupancy
Ti1 Ti 0.172 0.328 0.000 1
Al1 Al 0.131 0.631 0.500 1
Re1 Re 0.000 0.000 0.500 1
```



Entry B
Below is crystalline Ti2Al2Re at its relaxed geometry, with properties calculated at the PBE level.

The structure in CIF format:
```
data_Ti2Al2Re
_cell_length_a 3.199
_cell_length_b 3.199
_cell_length_c 15.422
_cell_angle_alpha 90.00
_cell_angle_beta 90.00
_cell_angle_gamma 90.00
_symmetry_space_group_name_H-M 'I 4/m m m'
_symmetry_Int_Tables_number 139
_symmetry_space_group_name_Hall '-I 4 2'
loop_
_atom_site_label
_atom_site_type_symbol
_atom_site_fract_x
_atom_site_fract_y
_atom_site_fract_z
_atom_site_occupancy
Ti1 Ti 0.000 0.000 0.093 1
Al1 Al 0.000 0.000 0.301 1
Re1 Re 0.000 0.000 0.500 1
```



What should be chosen as the most stable of them? Choose entry B.



Entry A
Below is crystalline TiAl2Re2 at its relaxed geometry, with properties calculated at the PBE level.

The structure in CIF format:
```
data_TiAl2Re2
_cell_length_a 6.889
_cell_length_b 6.889
_cell_length_c 3.169
_cell_angle_alpha 90.00
_cell_angle_beta 90.00
_cell_angle_gamma 90.00
_symmetry_space_group_name_H-M 'P 4/m b m'
_symmetry_Int_Tables_number 127
_symmetry_space_group_name_Hall '-P 4 2ab'
loop_
_atom_site_label
_atom_site_type_symbol
_atom_site_fract_x
_atom_site_fract_y
_atom_site_fract_z
_atom_site_occupancy
Ti1 Ti 0.000 0.000 0.000 1
Al1 Al 0.131 0.369 0.000 1
Re1 Re 0.166 0.666 0.500 1
```



Entry B
Below is crystalline TiAl2Re2 at its relaxed geometry, with properties calculated at the PBE level.

The structure in CIF format:
```
data_TiAl2Re2
_cell_length_a 6.927
_cell_length_b 6.927
_cell_length_c 3.264
_cell_angle_alpha 90.00
_cell_angle_beta 90.00
_cell_angle_gamma 90.00
_symmetry_space_group_name_H-M 'P 4/m b m'
_symmetry_Int_Tables_number 127
_symmetry_space_group_name_Hall '-P 4 2ab'
loop_
_atom_site_label
_atom_site_type_symbol
_atom_site_fract_x
_atom_site_fract_y
_atom_site_fract_z
_atom_site_occupancy
Ti1 Ti 0.000 0.000 0.000 1
Al1 Al 0.143 0.357 0.500 1
Re1 Re 0.153 0.653 0.000 1
```



What should be chosen as the most stable of them? Choose entry A.



Entry A
Below is crystalline Ti6AlRe at its relaxed geometry, with properties calculated at the PBE level.

The structure in CIF format:
```
data_Ti6AlRe
_cell_length_a 4.670
_cell_length_b 5.735
_cell_length_c 9.845
_cell_angle_alpha 90.00
_cell_angle_beta 90.00
_cell_angle_gamma 90.00
_symmetry_space_group_name_H-M 'A m m 2'
_symmetry_Int_Tables_number 38
_symmetry_space_group_name_Hall 'A 2 -2'
loop_
_atom_site_label
_atom_site_type_symbol
_atom_site_fract_x
_atom_site_fract_y
_atom_site_fract_z
_atom_site_occupancy
Ti1 Ti 0.000 0.000 0.000 1
Ti2 Ti 0.000 0.242 0.244 1
Ti3 Ti 0.500 0.000 0.665 1
Ti4 Ti 0.500 0.245 0.418 1
Al1 Al 0.000 0.000 0.498 1
Re1 Re 0.500 0.000 0.166 1
```



Entry B
Below is crystalline Ti6AlRe at its relaxed geometry, with properties calculated at the PBE level.

The structure in CIF format:
```
data_Ti6AlRe
_cell_length_a 5.550
_cell_length_b 9.043
_cell_length_c 5.337
_cell_angle_alpha 90.00
_cell_angle_beta 99.25
_cell_angle_gamma 90.00
_symmetry_space_group_name_H-M 'C 1 2/m 1'
_symmetry_Int_Tables_number 12
_symmetry_space_group_name_Hall '-C 2y'
loop_
_atom_site_label
_atom_site_type_symbol
_atom_site_fract_x
_atom_site_fract_y
_atom_site_fract_z
_atom_site_occupancy
Ti1 Ti 0.133 0.226 0.248 1
Ti2 Ti 0.241 0.000 0.945 1
Al1 Al 0.000 0.500 0.500 1
Re1 Re 0.000 0.000 0.500 1
```



What should be chosen as the most stable of them? Choose entry B.



Entry A
Below is crystalline TiAlRe3 at its relaxed geometry, with properties calculated at the PBE level.

The structure in CIF format:
```
data_TiAlRe3
_cell_length_a 4.541
_cell_length_b 4.541
_cell_length_c 4.541
_cell_angle_alpha 90.00
_cell_angle_beta 90.00
_cell_angle_gamma 90.00
_symmetry_space_group_name_H-M 'P m -3 m'
_symmetry_Int_Tables_number 221
_symmetry_space_group_name_Hall '-P 4 2 3'
loop_
_atom_site_label
_atom_site_type_symbol
_atom_site_fract_x
_atom_site_fract_y
_atom_site_fract_z
_atom_site_occupancy
Ti1 Ti 0.000 0.000 0.000 1
Al1 Al 0.500 0.500 0.500 1
Re1 Re 0.000 0.000 0.500 1
```



Entry B
Below is crystalline TiAlRe3 at its relaxed geometry, with properties calculated at the PBE level.

The structure in CIF format:
```
data_TiAlRe3
_cell_length_a 4.441
_cell_length_b 4.441
_cell_length_c 4.441
_cell_angle_alpha 90.00
_cell_angle_beta 90.00
_cell_angle_gamma 90.00
_symmetry_space_group_name_H-M 'P m -3 m'
_symmetry_Int_Tables_number 221
_symmetry_space_group_name_Hall '-P 4 2 3'
loop_
_atom_site_label
_atom_site_type_symbol
_atom_site_fract_x
_atom_site_fract_y
_atom_site_fract_z
_atom_site_occupancy
Ti1 Ti 0.000 0.000 0.000 1
Al1 Al 0.500 0.500 0.500 1
Re1 Re 0.000 0.500 0.500 1
```



What should be chosen as the most stable of them? Choose entry B.



Entry A
Below is crystalline AlTlRe2 at its relaxed geometry, with properties calculated at the PBE level.

The structure in CIF format:
```
data_AlTlRe2
_cell_length_a 2.974
_cell_length_b 4.809
_cell_length_c 10.360
_cell_angle_alpha 90.00
_cell_angle_beta 90.00
_cell_angle_gamma 90.00
_symmetry_space_group_name_H-M 'C m m 2'
_symmetry_Int_Tables_number 35
_symmetry_space_group_name_Hall 'C 2 -2'
loop_
_atom_site_label
_atom_site_type_symbol
_atom_site_fract_x
_atom_site_fract_y
_atom_site_fract_z
_atom_site_occupancy
Al1 Al 0.000 0.000 0.000 1
Tl1 Tl 0.000 0.500 0.305 1
Re1 Re 0.000 0.000 0.579 1
Re2 Re 0.000 0.500 0.784 1
```



Entry B
Below is crystalline AlTlRe2 at its relaxed geometry, with properties calculated at the PBE level.

The structure in CIF format:
```
data_AlTlRe2
_cell_length_a 3.213
_cell_length_b 3.213
_cell_length_c 6.764
_cell_angle_alpha 90.00
_cell_angle_beta 90.00
_cell_angle_gamma 90.00
_symmetry_space_group_name_H-M 'P 4/m m m'
_symmetry_Int_Tables_number 123
_symmetry_space_group_name_Hall '-P 4 2'
loop_
_atom_site_label
_atom_site_type_symbol
_atom_site_fract_x
_atom_site_fract_y
_atom_site_fract_z
_atom_site_occupancy
Al1 Al 0.000 0.000 0.000 1
Tl1 Tl 0.000 0.000 0.500 1
Re1 Re 0.500 0.500 0.183 1
```



Entry C
Below is crystalline AlTlRe2 at its relaxed geometry, with properties calculated at the PBE level.

The structure in CIF format:
```
data_AlTlRe2
_cell_length_a 9.002
_cell_length_b 2.963
_cell_length_c 5.236
_cell_angle_alpha 90.00
_cell_angle_beta 101.35
_cell_angle_gamma 90.00
_symmetry_space_group_name_H-M 'C 1 2/m 1'
_symmetry_Int_Tables_number 12
_symmetry_space_group_name_Hall '-C 2y'
loop_
_atom_site_label
_atom_site_type_symbol
_atom_site_fract_x
_atom_site_fract_y
_atom_site_fract_z
_atom_site_occupancy
Al1 Al 0.000 0.000 0.000 1
Tl1 Tl 0.000 0.500 0.500 1
Re1 Re 0.241 0.500 0.204 1
```



What should be chosen as the most stable of them? Choose entry C.